Pa2VCdO8 | GGA+U | relaxed

Unit cell a=4.8767 b=4.8767 c=7.0835 alpha=90.79 beta=90.79 gamma=89.82
With the nearest neighbours (Å) after each atom.
Fractional positions:
Pa (0.0032, 0.0032, 0.2449)  6 O 2.10-2.22
Pa (0.9968, 0.9968, 0.7551)  6 O 2.10-2.22
V (0.5000, 0.5000, 0.0000)  6 O 1.90-2.06
Cd (0.5000, 0.5000, 0.5000)  4 O 2.17-2.40
O (0.1844, 0.8156, 0.5000)  1 Cd 2.17, 2 Pa 2.21
O (0.2009, 0.7991, 0.0000)  1 V 2.06, 2 Pa 2.22
O (0.3056, 0.3056, 0.2151)  1 V 2.05, 1 Pa 2.10
O (0.3126, 0.3126, 0.8009)  1 V 1.90
O (0.6874, 0.6874, 0.1991)  1 V 1.90
O (0.6944, 0.6944, 0.7849)  1 V 2.05, 1 Pa 2.10
O (0.7991, 0.2009, 0.0000)  1 V 2.06, 2 Pa 2.22
O (0.8156, 0.1844, 0.5000)  1 Cd 2.17, 2 Pa 2.21

Results
E_tot = -8.30 eV per atom
symmetry = C2/m (12)
DOS at the Fermi energy = 0.00 states/eV/cell